Entry A
DFT (PBE) results for crystalline RbYI2O at its relaxed geometry.

Output
symmetry = P4/mmm
density of states at the Fermi level = 1.520 states/eV/cell
magnetization = 0.21 μB per formula unit

a = 6.389 Å, b = 6.389 Å, c = 4.284 Å
α = 90.00°, β = 90.00°, γ = 90.00°
Last column: magnetic moment on the atom in μB.
Positions (direct):
Y 0.500 0.500 0.500  -0.01
I 0.000 0.500 0.000  0.00
I 0.500 0.000 0.000  0.00
Rb 0.000 0.000 0.000  0.04
O 0.000 0.000 0.500  0.17

=====

Entry B
DFT (PBE) results for crystalline RbYI2O at its relaxed geometry.

Output
symmetry = P4/mmm
density of states at the Fermi level = 0.000 states/eV/cell
magnetization = 0.00 μB per formula unit

a = 6.393 Å, b = 4.259 Å, c = 6.393 Å
α = 90.00°, β = 90.00°, γ = 90.00°
Positions (direct):
I 0.000 0.000 0.500
I 0.500 0.000 0.000
O 0.000 0.500 0.000
Rb 0.500 0.500 0.500
Y 0.000 0.000 0.000

=====

Relative to the most stable structure, the computed energies are entry A 169.1; entry B 0.0, all in kJ/mol of atoms.

=====

Entry A
DFT (PBE) results for crystalline RbZnIO2 at its relaxed geometry.

Output
symmetry = P4/mmm
density of states at the Fermi level = 1.835 states/eV/cell
magnetization = 1.05 μB per formula unit

a = 4.492 Å, b = 4.492 Å, c = 7.430 Å
α = 90.00°, β = 90.00°, γ = 90.00°
Last column: magnetic moment on the atom in μB.
Positions (direct):
O 0.000 0.500 0.000  0.42
O 0.500 0.000 0.000  0.42
Zn 0.500 0.500 0.500  0.00
I 0.000 0.000 0.500  0.00
Rb 0.000 0.000 0.000  -0.01

=====

Entry B
DFT (PBE) results for crystalline RbZnIO2 at its relaxed geometry.

Output
symmetry = P4/mmm
density of states at the Fermi level = 4.896 states/eV/cell
magnetization = 2.00 μB per formula unit

a = 4.536 Å, b = 4.536 Å, c = 5.533 Å
α = 90.00°, β = 90.00°, γ = 90.00°
Last column: magnetic moment on the atom in μB.
Positions (direct):
O 0.500 0.000 0.000  0.77
O 0.000 0.500 0.000  0.77
Rb 0.500 0.500 0.500  0.00
I 0.000 0.000 0.500  0.11
Zn 0.000 0.000 0.000  -0.01

=====

Relative to the most stable structure, the computed energies are entry A 85.9; entry B 0.0, all in kJ/mol of atoms.

=====

Entry A
DFT (PBE) results for crystalline RbZrIO2 at its relaxed geometry.

Output
symmetry = P4/mmm
magnetization = 0.00 μB per formula unit

a = 4.359 Å, b = 4.359 Å, c = 5.986 Å
α = 90.00°, β = 90.00°, γ = 90.00°
Positions (direct):
O 0.500 0.000 0.000
O 0.000 0.500 0.000
Rb 0.500 0.500 0.500
I 0.000 0.000 0.500
Zr 0.000 0.000 0.000

=====

Entry B
DFT (PBE) results for crystalline RbZrIO2 at its relaxed geometry.

Output
symmetry = P4/mmm
density of states at the Fermi level = 4.803 states/eV/cell
magnetization = 0.00 μB per formula unit

a = 4.422 Å, b = 4.422 Å, c = 6.130 Å
α = 90.00°, β = 90.00°, γ = 90.00°
Positions (direct):
O 0.000 0.500 0.000
O 0.500 0.000 0.000
Rb 0.000 0.000 0.000
I 0.000 0.000 0.500
Zr 0.500 0.500 0.500

=====

Relative to the most stable structure, the computed energies are entry A 0.0; entry B 244.3, all in kJ/mol of atoms.

=====

Entry A
DFT (PBE) results for crystalline RbZrI2O at its relaxed geometry.

Output
symmetry = P4/mmm
density of states at the Fermi level = 5.838 states/eV/cell
magnetization = 2.10 μB per formula unit

a = 6.366 Å, b = 6.366 Å, c = 4.204 Å
α = 90.00°, β = 90.00°, γ = 90.00°
Last column: magnetic moment on the atom in μB.
Positions (direct):
Rb 0.000 0.000 0.000  0.00
I 0.500 0.000 0.000  -0.04
I 0.000 0.500 0.000  -0.04
O 0.000 0.000 0.500  0.00
Zr 0.500 0.500 0.500  1.46

=====

Entry B
DFT (PBE) results for crystalline RbZrI2O at its relaxed geometry.

Output
symmetry = P4/mmm
density of states at the Fermi level = 1.112 states/eV/cell
magnetization = 0.96 μB per formula unit

a = 6.188 Å, b = 6.188 Å, c = 4.105 Å
α = 90.00°, β = 90.00°, γ = 90.00°
Last column: magnetic moment on the atom in μB.
Positions (direct):
I 0.500 0.000 0.000  0.01
I 0.000 0.500 0.000  0.01
O 0.000 0.000 0.500  -0.03
Rb 0.500 0.500 0.500  0.00
Zr 0.000 0.000 0.000  0.64

=====

Relative to the most stable structure, the computed energies are entry A 194.0; entry B 0.0, all in kJ/mol of atoms.

=====

Entry A
DFT (PBE) results for crystalline Re2IO at its relaxed geometry.

Output
symmetry = I-42d
density of states at the Fermi level = 3.982 states/eV/cell
magnetization = 0.00 μB per formula unit

a = 4.423 Å, b = 4.423 Å, c = 7.875 Å
α = 73.69°, β = 73.69°, γ = 90.00°
Positions (direct):
Re 0.375 0.495 0.750
Re 0.245 0.625 0.250
Re 0.505 0.125 0.250
Re 0.875 0.755 0.750
I 0.750 0.250 0.500
I 0.000 0.000 0.000
O 0.500 0.500 0.000
O 0.250 0.750 0.500

=====

Entry B
DFT (PBE) results for crystalline Re2IO at its relaxed geometry.

Output
symmetry = Fm-3m
density of states at the Fermi level = 6.113 states/eV/cell
magnetization = 0.00 μB per formula unit

a = 4.368 Å, b = 4.368 Å, c = 4.368 Å
α = 60.00°, β = 60.00°, γ = 60.00°
Positions (direct):
O 0.000 0.000 0.000
Re 0.250 0.250 0.250
Re 0.750 0.750 0.750
I 0.500 0.500 0.500

=====

Relative to the most stable structure, the computed energies are entry A 0.0; entry B 74.3, all in kJ/mol of atoms.

=====

Entry A
DFT (PBE) results for crystalline ReI2O2 at its relaxed geometry.

Output
symmetry = P4/mmm
density of states at the Fermi level = 4.889 states/eV/cell
magnetization = 0.32 μB per formula unit

a = 4.906 Å, b = 4.906 Å, c = 3.451 Å
α = 90.00°, β = 90.00°, γ = 90.00°
Last column: magnetic moment on the atom in μB.
Positions (direct):
O 0.000 0.000 0.000  -0.01
O 0.000 0.000 0.500  0.02
Re 0.500 0.500 0.500  0.27
I 0.000 0.500 0.000  0.00
I 0.500 0.000 0.000  0.00

=====

Entry B
DFT (PBE) results for crystalline ReI2O2 at its relaxed geometry.

Output
symmetry = P4/mmm
density of states at the Fermi level = 3.406 states/eV/cell
magnetization = 3.66 μB per formula unit

a = 4.052 Å, b = 4.052 Å, c = 8.010 Å
α = 90.00°, β = 90.00°, γ = 90.00°
Last column: magnetic moment on the atom in μB.
Positions (direct):
O 0.000 0.500 0.000  -0.01
O 0.500 0.000 0.000  -0.01
I 0.000 0.000 0.000  -0.02
I 0.000 0.000 0.500  0.04
Re 0.500 0.500 0.500  2.96

=====

Relative to the most stable structure, the computed energies are entry A 40.1; entry B 0.0, all in kJ/mol of atoms.